1.
LaSc2Ga: relaxed, PBE-GGA.

## Properties
**Space-group type**: R3m, No. 160
**Magnetization**: 0.00 Bohr magnetons per cell
**Formation enthalpy at 0 K**: -0.180 eV/atom

Structure (POSCAR):
```
LaSc2Ga
1.0
2.343 1.353 5.646
-2.343 1.353 5.646
0.000 -2.706 5.646
La Sc Ga
1 2 1
direct
0.000 0.000 0.000
0.550 0.550 0.550
0.787 0.787 0.787
0.196 0.196 0.196
```



2.
Ac4Mg5Ga6: relaxed, PBE-GGA.

## Properties
**Space-group type**: Cmc2_1, No. 36
**Magnetization**: 0.00 Bohr magnetons per cell
**Formation enthalpy at 0 K**: -0.327 eV/atom

Structure (POSCAR):
```
Ac4Mg5Ga6
1.0
2.372 -10.982 0.000
2.372 10.982 0.000
0.000 0.000 15.551
Ac Mg Ga
8 10 12
direct
0.037 0.963 0.500
0.048 0.952 0.771
0.148 0.852 0.282
0.184 0.816 0.932
0.816 0.184 0.432
0.852 0.148 0.782
0.952 0.048 0.271
0.963 0.037 0.000
0.169 0.831 0.623
0.317 0.683 0.259
0.318 0.682 0.601
0.345 0.655 0.968
0.459 0.541 0.654
0.541 0.459 0.154
0.655 0.345 0.468
0.682 0.318 0.101
0.683 0.317 0.759
0.831 0.169 0.123
0.094 0.906 0.090
0.223 0.777 0.462
0.253 0.747 0.757
0.411 0.589 0.130
0.428 0.572 0.441
0.452 0.548 0.851
0.548 0.452 0.351
0.572 0.428 0.941
0.589 0.411 0.630
0.747 0.253 0.257
0.777 0.223 0.962
0.906 0.094 0.590
```



3.
Mg7Bi3N2: relaxed, PBE-GGA.

## Properties
**Space-group type**: Cmmm, No. 65
**Magnetization**: 0.00 Bohr magnetons per cell
**Formation energy from raw total energies**: -0.3887 eV per atom

Structure (POSCAR):
```
Mg7Bi3N2
1.0
2.191 -12.700 0.000
2.191 12.700 0.000
0.000 0.000 4.349
Mg Bi N
7 3 2
direct
0.000 0.000 0.000
0.090 0.910 0.500
0.173 0.827 0.000
0.411 0.589 0.000
0.589 0.411 0.000
0.827 0.173 0.000
0.910 0.090 0.500
0.311 0.689 0.500
0.500 0.500 0.500
0.689 0.311 0.500
0.087 0.913 0.000
0.913 0.087 0.000
```



4.
TcGe2S6: relaxed, PBE-GGA.

## Properties
**Space-group type**: C2/c, No. 15
**Magnetization**: 2.00 Bohr magnetons per cell
**Formation energy from raw total energies**: -0.2001 eV per atom

Structure (POSCAR):
```
TcGe2S6
1.0
5.910 -5.264 0.000
5.910 5.264 0.000
-1.134 0.000 6.154
Tc Ge S
2 4 12
direct
0.117 0.883 0.750
0.883 0.117 0.250
0.212 0.381 0.657
0.381 0.212 0.157
0.619 0.788 0.843
0.788 0.619 0.343
0.016 0.183 0.617
0.112 0.628 0.864
0.183 0.016 0.117
0.286 0.458 0.352
0.372 0.888 0.636
0.458 0.286 0.852
0.542 0.714 0.148
0.628 0.112 0.364
0.714 0.542 0.648
0.817 0.984 0.883
0.888 0.372 0.136
0.984 0.817 0.383
```



5.
SrPr4Dy3Te8: relaxed, PBE-GGA.

## Properties
**Space-group type**: R-3m, No. 166
**Magnetization**: 0.00 Bohr magnetons per cell
**Formation energy from raw total energies**: -1.3992 eV per atom

Structure (POSCAR):
```
SrPr4Dy3Te8
1.0
4.443 2.565 7.463
-4.443 2.565 7.463
0.000 -5.130 7.463
Sr Pr Dy Te
1 4 3 8
direct
0.000 0.000 0.000
0.000 0.000 0.500
0.000 0.500 0.000
0.500 0.000 0.000
0.500 0.500 0.500
0.000 0.500 0.500
0.500 0.000 0.500
0.500 0.500 0.000
0.251 0.251 0.739
0.251 0.739 0.251
0.255 0.255 0.255
0.261 0.749 0.749
0.739 0.251 0.251
0.745 0.745 0.745
0.749 0.261 0.749
0.749 0.749 0.261
```



6.
Mn2MoP: relaxed, PBE-GGA.

## Properties
**Space-group type**: Immm, No. 71
**Magnetization**: 0.00 Bohr magnetons per cell
**Formation enthalpy at 0 K**: -0.177 eV/atom

Structure (POSCAR):
```
Mn2MoP
1.0
-1.396 2.096 4.122
1.396 -2.096 4.122
1.396 2.096 -4.122
Mn Mo P
2 1 1
direct
0.222 0.222 0.000
0.778 0.778 0.000
0.500 0.000 0.500
0.000 0.500 0.500
```



7.
SrIn4Ag2: relaxed, PBE-GGA.

## Properties
**Space-group type**: Pnma, No. 62
**Magnetization**: 0.00 Bohr magnetons per cell
**Formation enthalpy at 0 K**: -0.238 eV/atom
**Energy relative to the lowest polymorph listed for this composition**: 0 meV/atom

Structure (POSCAR):
```
SrIn4Ag2
1.0
19.153 0.000 0.000
0.000 4.850 0.000
0.000 0.000 7.562
Sr In Ag
4 16 8
direct
0.140 0.250 0.021
0.360 0.750 0.521
0.640 0.250 0.479
0.860 0.750 0.979
0.036 0.750 0.832
0.069 0.250 0.495
0.185 0.750 0.326
0.191 0.750 0.725
0.309 0.250 0.225
0.315 0.250 0.826
0.431 0.750 0.995
0.464 0.250 0.332
0.536 0.750 0.668
0.569 0.250 0.005
0.685 0.750 0.174
0.691 0.750 0.775
0.809 0.250 0.275
0.815 0.250 0.674
0.931 0.750 0.505
0.964 0.250 0.168
0.039 0.750 0.237
0.220 0.250 0.529
0.280 0.750 0.029
0.461 0.250 0.737
0.539 0.750 0.263
0.720 0.250 0.971
0.780 0.750 0.471
0.961 0.250 0.763
```



8.
Pm2Ho3In4: relaxed, PBE-GGA.

## Properties
**Space-group type**: P-3m1, No. 164
**Magnetization**: 0.00 Bohr magnetons per cell
**Formation enthalpy at 0 K**: -0.404 eV/atom
**Energy relative to the lowest polymorph listed for this composition**: 0 meV/atom

Structure (POSCAR):
```
Pm2Ho3In4
1.0
5.303 0.000 0.000
-2.652 4.593 0.000
0.000 0.000 10.397
Pm Ho In
2 3 4
direct
0.333 0.667 0.278
0.667 0.333 0.722
0.000 0.000 0.500
0.333 0.667 0.926
0.667 0.333 0.074
0.000 0.000 0.151
0.000 0.000 0.849
0.333 0.667 0.601
0.667 0.333 0.399
```



9.
SrScAu2: relaxed, PBE-GGA.

## Properties
**Space-group type**: C2/m, No. 12
**Magnetization**: 0.00 Bohr magnetons per cell
**Formation enthalpy at 0 K**: -0.629 eV/atom
**Energy relative to the lowest polymorph listed for this composition**: 104 meV/atom

Structure (POSCAR):
```
SrScAu2
1.0
3.646 -3.649 0.000
3.646 3.649 0.000
-0.009 0.000 3.527
Sr Sc Au
1 1 2
direct
0.000 0.000 0.000
0.500 0.500 0.000
0.000 0.500 0.500
0.500 0.000 0.500
```



10.
PuTl2HO6: relaxed, PBE-GGA.

## Properties
**Space-group type**: P1, No. 1
**Magnetization**: 1.00 Bohr magnetons per cell
**Final energy**: -66.1 eV/f.u.

Structure (POSCAR):
```
PuTl2HO6
1.0
5.642 0.000 0.000
-2.792 5.446 0.000
-1.648 -1.997 6.420
Pu Tl H O
1 2 1 6
direct
0.000 0.000 0.000
0.530 0.774 0.419
0.671 0.360 0.986
0.393 0.605 0.838
0.098 0.778 0.140
0.126 0.930 0.790
0.426 0.350 0.168
0.562 0.622 0.810
0.864 0.210 0.833
0.866 0.080 0.202
```



11.
Tm2ThPb3: relaxed, PBE-GGA.

## Properties
**Space-group type**: C2/c, No. 15
**Magnetization**: 0.00 Bohr magnetons per cell
**Formation enthalpy at 0 K**: -0.366 eV/atom
**Energy relative to the lowest polymorph listed for this composition**: 0 meV/atom

Structure (POSCAR):
```
Tm2ThPb3
1.0
8.543 -3.238 0.000
8.543 3.238 0.000
-1.183 0.000 6.253
Tm Th Pb
4 2 6
direct
0.043 0.289 0.077
0.289 0.043 0.577
0.711 0.957 0.423
0.957 0.711 0.923
0.383 0.617 0.750
0.617 0.383 0.250
0.117 0.883 0.250
0.205 0.451 0.412
0.451 0.205 0.912
0.549 0.795 0.088
0.795 0.549 0.588
0.883 0.117 0.750
```



12.
DyH8Pd4Pt: relaxed, PBE-GGA.

## Properties
**Space-group type**: R3m, No. 160
**Magnetization**: 0.00 Bohr magnetons per cell
**Final energy**: -60.7 eV/f.u.

Structure (POSCAR):
```
DyH8Pd4Pt
1.0
2.872 1.658 4.758
-2.872 1.658 4.758
0.000 -3.316 4.758
Dy H Pd Pt
1 8 4 1
direct
0.000 0.000 0.000
0.388 0.388 0.388
0.394 0.394 0.851
0.394 0.851 0.394
0.468 0.842 0.842
0.842 0.468 0.842
0.842 0.842 0.468
0.849 0.849 0.849
0.851 0.394 0.394
0.133 0.625 0.625
0.254 0.254 0.254
0.625 0.133 0.625
0.625 0.625 0.133
0.625 0.625 0.625
```



13.
CeTlAuCl6: relaxed, PBE-GGA.

## Properties
**Space-group type**: P-31c, No. 163
**Magnetization**: 0.13 Bohr magnetons per cell
**Formation energy from raw total energies**: -1.2979 eV per atom

Structure (POSCAR):
```
CeTlAuCl6
1.0
6.835 0.000 0.000
-3.417 5.919 0.000
0.000 0.000 14.711
Ce Tl Au Cl
2 2 2 12
direct
0.333 0.667 0.250
0.667 0.333 0.750
0.000 0.000 0.000
0.000 0.000 0.500
0.333 0.667 0.750
0.667 0.333 0.250
0.010 0.361 0.143
0.010 0.649 0.357
0.351 0.361 0.357
0.351 0.990 0.143
0.361 0.010 0.643
0.361 0.351 0.857
0.639 0.649 0.143
0.639 0.990 0.357
0.649 0.010 0.857
0.649 0.639 0.643
0.990 0.351 0.643
0.990 0.639 0.857
```



14.
AlPPb: relaxed, PBE-GGA.

## Properties
**Space-group type**: P3m1, No. 156
**Magnetization**: 0.00 Bohr magnetons per cell
**Formation enthalpy at 0 K**: -0.083 eV/atom
**Energy relative to the lowest polymorph listed for this composition**: 0 meV/atom

Structure (POSCAR):
```
AlPPb
1.0
3.806 0.000 0.000
-1.903 3.296 0.000
0.000 0.000 5.509
Al P Pb
1 1 1
direct
0.000 0.000 0.000
0.667 0.333 0.826
0.333 0.667 0.424
```



15.
CrCoRh6: relaxed, PBE-GGA.

## Properties
**Space-group type**: P4/mmm, No. 123
**Magnetization**: 3.50 Bohr magnetons per cell
**Formation enthalpy at 0 K**: -0.029 eV/atom

Structure (POSCAR):
```
CrCoRh6
1.0
5.354 0.000 0.000
0.000 5.354 0.000
0.000 0.000 3.788
Cr Co Rh
1 1 6
direct
0.000 0.000 0.000
0.500 0.500 0.000
0.000 0.500 0.000
0.249 0.249 0.500
0.249 0.751 0.500
0.500 0.000 0.000
0.751 0.249 0.500
0.751 0.751 0.500
```



16.
CePm3Sm6Dy2: relaxed, PBE-GGA.

## Properties
**Space-group type**: C2/m, No. 12
**Magnetization**: 1.26 Bohr magnetons per cell
**Formation enthalpy at 0 K**: 0.037 eV/atom

Structure (POSCAR):
```
CePm3Sm6Dy2
1.0
3.132 -5.423 0.000
3.132 5.423 0.000
-2.099 0.000 11.811
Ce Pm Sm Dy
1 3 6 2
direct
0.000 0.000 0.000
0.167 0.833 0.500
0.500 0.500 0.500
0.833 0.167 0.500
0.082 0.413 0.247
0.249 0.249 0.753
0.413 0.082 0.247
0.587 0.918 0.753
0.751 0.751 0.247
0.918 0.587 0.753
0.334 0.666 0.000
0.666 0.334 0.000
```



17.
LiSm2Be3Ge4: relaxed, PBE-GGA.

## Properties
**Space-group type**: P-4m2, No. 115
**Magnetization**: 0.00 Bohr magnetons per cell
**Formation enthalpy at 0 K**: -0.423 eV/atom

Structure (POSCAR):
```
LiSm2Be3Ge4
1.0
4.124 0.000 0.000
0.000 4.124 0.000
0.000 0.000 9.790
Li Sm Be Ge
1 2 3 4
direct
0.000 0.000 0.000
0.000 0.500 0.745
0.500 0.000 0.255
0.000 0.500 0.372
0.500 0.000 0.628
0.500 0.500 0.000
0.000 0.000 0.500
0.000 0.500 0.139
0.500 0.000 0.861
0.500 0.500 0.500
```



18.
Ti2SnAs2: relaxed, PBE-GGA.

## Properties
**Space-group type**: P4/mbm, No. 127
**Magnetization**: 0.00 Bohr magnetons per cell
**Formation enthalpy at 0 K**: -0.489 eV/atom
**Energy relative to the lowest polymorph listed for this composition**: 0 meV/atom

Structure (POSCAR):
```
Ti2SnAs2
1.0
7.320 0.000 0.000
0.000 7.320 0.000
0.000 0.000 3.413
Ti Sn As
4 2 4
direct
0.145 0.355 0.000
0.355 0.855 0.000
0.645 0.145 0.000
0.855 0.645 0.000
0.000 0.000 0.000
0.500 0.500 0.000
0.146 0.646 0.500
0.354 0.146 0.500
0.646 0.854 0.500
0.854 0.354 0.500
```



19.
TmZrCo2: relaxed, PBE-GGA.

## Properties
**Space-group type**: P4/mmm, No. 123
**Magnetization**: 0.35 Bohr magnetons per cell
**Formation enthalpy at 0 K**: -0.279 eV/atom
**Energy relative to the lowest polymorph listed for this composition**: 0 meV/atom

Structure (POSCAR):
```
TmZrCo2
1.0
3.224 0.000 0.000
0.000 3.224 0.000
0.000 0.000 6.524
Tm Zr Co
1 1 2
direct
0.000 0.000 0.000
0.000 0.000 0.500
0.500 0.500 0.272
0.500 0.500 0.728
```



20.
Tb2InCo: relaxed, PBE-GGA.

## Properties
**Space-group type**: P2_1/c, No. 14
**Magnetization**: 0.00 Bohr magnetons per cell
**Formation enthalpy at 0 K**: -0.151 eV/atom

Structure (POSCAR):
```
Tb2InCo
1.0
9.073 0.000 0.000
0.000 5.821 0.000
-3.832 0.000 7.423
Tb In Co
8 4 4
direct
0.147 0.250 0.073
0.147 0.250 0.573
0.253 0.749 0.377
0.253 0.751 0.877
0.747 0.249 0.123
0.747 0.251 0.623
0.853 0.750 0.427
0.853 0.750 0.927
0.500 0.000 0.250
0.500 0.000 0.750
0.500 0.500 0.250
0.500 0.500 0.750
0.378 0.249 0.939
0.378 0.251 0.439
0.622 0.749 0.561
0.622 0.751 0.061
```



The evaluated density for the records listed, in turn: 4617, 5936, 5660, 3779, 7026, 8149, 7212, 8160, 9317, 6311, 11439, 9665, 4208, 6372, 11140, 7460, 6235, 6617, 9257, 8329 kg/m3.
The evaluated volume for the records listed, in turn: 107.4, 810.1, 242.1, 382.9, 510.4, 48.3, 702.4, 253.2, 93.8, 197.3, 345.9, 136.0, 595.2, 69.1, 108.6, 401.2, 166.5, 182.8, 67.8, 392.0 Å³/cell.